Entry 1:
A plane-wave DFT calculation with GGA-PBE was carried out for an optimized crystal structure of VZnMoRh2.

Cell lengths 4.3973, 4.3973, 4.4076 Å; angles 90.00, 90.00, 90.00 degrees
Sites, in units of the cell vectors:
V (0.0000, 0.0000, 0.0000)
Zn (0.0000, 0.0000, 0.5000)
Mo (0.5000, 0.5000, 0.0000)
Rh (0.0000, 0.5000, 0.5000)
Rh (0.5000, 0.0000, 0.5000)

Calculated values
The energy relative to the elements is 1.23 eV per atom. The total DFT energy (no corrections) comes out at -29.793 eV for the cell shown. Its size of the total moment is 0.00 μB/atom.

---

Entry 2:
A plane-wave DFT calculation with GGA-PBE was carried out for an optimized crystal structure of ZrVMoRh.

Cell lengths 6.3617, 6.3617, 6.3617 Å; angles 90.00, 90.00, 90.00 degrees
Sites, in units of the cell vectors:
Zr (0.0000, 0.0000, 0.0000)
Zr (0.0000, 0.5000, 0.5000)
Zr (0.5000, 0.0000, 0.5000)
Zr (0.5000, 0.5000, 0.0000)
V (0.0000, 0.0000, 0.5000)
V (0.0000, 0.5000, 0.0000)
V (0.5000, 0.0000, 0.0000)
V (0.5000, 0.5000, 0.5000)
Mo (0.2500, 0.2500, 0.7500)
Mo (0.2500, 0.7500, 0.2500)
Mo (0.7500, 0.2500, 0.2500)
Mo (0.7500, 0.7500, 0.7500)
Rh (0.2500, 0.2500, 0.2500)
Rh (0.2500, 0.7500, 0.7500)
Rh (0.7500, 0.2500, 0.7500)
Rh (0.7500, 0.7500, 0.2500)

Calculated values
The energy relative to the elements is -0.27 eV per atom. The total DFT energy (no corrections) comes out at -147.785 eV for the cell shown. Its size of the total moment is 0.00 μB/atom.

---

Copy entry 2 word for word.
A plane-wave DFT calculation with GGA-PBE was carried out for an optimized crystal structure of ZrVMoRh.

Cell lengths 6.3617, 6.3617, 6.3617 Å; angles 90.00, 90.00, 90.00 degrees
Sites, in units of the cell vectors:
Zr (0.0000, 0.0000, 0.0000)
Zr (0.0000, 0.5000, 0.5000)
Zr (0.5000, 0.0000, 0.5000)
Zr (0.5000, 0.5000, 0.0000)
V (0.0000, 0.0000, 0.5000)
V (0.0000, 0.5000, 0.0000)
V (0.5000, 0.0000, 0.0000)
V (0.5000, 0.5000, 0.5000)
Mo (0.2500, 0.2500, 0.7500)
Mo (0.2500, 0.7500, 0.2500)
Mo (0.7500, 0.2500, 0.2500)
Mo (0.7500, 0.7500, 0.7500)
Rh (0.2500, 0.2500, 0.2500)
Rh (0.2500, 0.7500, 0.7500)
Rh (0.7500, 0.2500, 0.7500)
Rh (0.7500, 0.7500, 0.2500)

Calculated values
The energy relative to the elements is -0.27 eV per atom. The total DFT energy (no corrections) comes out at -147.785 eV for the cell shown. Its size of the total moment is 0.00 μB/atom.

---

What is the size of the total moment in the first record? 0.00 μB/atom